(1)
Crystalline Ti3CdPd6 at its relaxed geometry, computed with PBE-GGA.

a = 7.202 Å, b = 7.216 Å, c = 7.216 Å
α = 113.94°, β = 90.00°, γ = 90.00°
Fractional coordinates of all 20 atoms:
Ti 0.464 0.881 0.697
Ti 0.964 0.697 0.881
Ti 0.300 0.418 0.582
Ti 0.800 0.582 0.418
Ti 0.964 0.119 0.303
Ti 0.464 0.303 0.119
Cd 0.100 0.190 0.810
Cd 0.600 0.810 0.190
Pd 0.133 0.751 0.606
Pd 0.633 0.606 0.751
Pd 0.304 0.563 0.973
Pd 0.804 0.973 0.563
Pd 0.251 0.967 0.033
Pd 0.532 0.240 0.760
Pd 0.032 0.760 0.240
Pd 0.751 0.033 0.967
Pd 0.304 0.027 0.437
Pd 0.804 0.437 0.027
Pd 0.133 0.394 0.249
Pd 0.633 0.249 0.394

Computed properties:
Excess energy over the best structure of this formula in the dataset: 2.00 eV per formula unit
DOS at the Fermi energy: 14.404 states/eV/cell

=====

(2)
Crystalline Ti2Cd3Pd2 at its relaxed geometry, computed with PBE-GGA.

a = 2.971 Å, b = 2.969 Å, c = 14.745 Å
α = 90.00°, β = 95.78°, γ = 90.00°
Last column: magnetic moment on the atom in μB.
Fractional coordinates of all 7 atoms:
Ti 0.289 0.500 0.578  0.40
Ti 0.711 0.500 0.422  0.40
Cd 0.417 0.500 0.834  0.00
Cd 0.583 0.500 0.166  0.00
Cd 0.000 0.000 0.000  0.00
Pd 0.152 0.000 0.304  0.02
Pd 0.848 0.000 0.696  0.02

Computed properties:
Total energy: -4.31 eV per atom
DOS at the Fermi energy: 6.156 states/eV/cell

=====

(3)
Crystalline Ti2CdPd2 at its relaxed geometry, computed with PBE-GGA.

a = 2.845 Å, b = 4.062 Å, c = 7.765 Å
α = 74.84°, β = 90.00°, γ = 90.00°
Last column: magnetic moment on the atom in μB.
Fractional coordinates of all 5 atoms:
Ti 0.000 0.195 0.611  0.65
Ti 0.000 0.805 0.389  0.65
Cd 0.000 0.000 0.000  -0.01
Pd 0.500 0.373 0.253  0.04
Pd 0.500 0.627 0.747  0.04

Computed properties:
Total energy: -5.67 eV per atom
DOS at the Fermi energy: 4.986 states/eV/cell

=====

(4)
Crystalline Ti2Cd2Pd at its relaxed geometry, computed with PBE-GGA.

a = 7.093 Å, b = 7.093 Å, c = 3.750 Å
α = 90.00°, β = 90.00°, γ = 90.00°
Fractional coordinates of all 10 atoms:
Ti 0.163 0.663 0.500
Ti 0.663 0.837 0.500
Ti 0.837 0.337 0.500
Ti 0.337 0.163 0.500
Pd 0.000 0.000 0.000
Pd 0.500 0.500 0.000
Cd 0.361 0.861 0.000
Cd 0.861 0.639 0.000
Cd 0.639 0.139 0.000
Cd 0.139 0.361 0.000

Computed properties:
Excess energy over the best structure of this formula in the dataset: 0.00 eV per formula unit
DOS at the Fermi energy: 10.206 states/eV/cell

=====

What did the second record say?
Crystalline Ti2Cd3Pd2 at its relaxed geometry, computed with PBE-GGA.

a = 2.971 Å, b = 2.969 Å, c = 14.745 Å
α = 90.00°, β = 95.78°, γ = 90.00°
Last column: magnetic moment on the atom in μB.
Fractional coordinates of all 7 atoms:
Ti 0.289 0.500 0.578  0.40
Ti 0.711 0.500 0.422  0.40
Cd 0.417 0.500 0.834  0.00
Cd 0.583 0.500 0.166  0.00
Cd 0.000 0.000 0.000  0.00
Pd 0.152 0.000 0.304  0.02
Pd 0.848 0.000 0.696  0.02

Computed properties:
Total energy: -4.31 eV per atom
DOS at the Fermi energy: 6.156 states/eV/cell